! PBE CrTe2RhN, relaxed; values from VASP
&SYSTEM
  ibrav = 0, nat = 5, ntyp = 4
/
ATOMIC_SPECIES
Cr 52.00 Cr.upf
Te 127.60 Te.upf
Rh 102.91 Rh.upf
N 14.01 N.upf
CELL_PARAMETERS angstrom
5.2157 0.0000 0.0000
0.0000 5.2157 0.0000
0.0000 0.0000 3.4691
ATOMIC_POSITIONS angstrom
Cr 0.0000 0.0000 0.0000
Te 0.0000 2.6078 0.0000
Te 2.6078 0.0000 0.0000
Rh 2.6078 2.6078 1.7345
N 0.0000 0.0000 1.7345
! - space group = P4/mmm
! - offset from the most stable computed form (meV per atom) = 0.0
! - formation energy (no corrections) (eV/atom) = 0.33
! - M_tot (μB/f.u.) = 1.187